Record 1
## CsRb2Cu (PBE-GGA)

Data for a geometry-optimized CsRb2Cu structure.

Cell: 12.082 12.082 9.332 Å, 49.66 49.66 90.00°
Atoms (fractional coordinates):
1 Cs 0.000 0.000 0.000
2 Rb 0.875 0.757 0.750
3 Cs 0.750 0.250 0.500
4 Rb 0.507 0.125 0.250
5 Cu 0.250 0.750 0.500
6 Rb 0.375 0.493 0.750
7 Cu 0.500 0.500 0.000
8 Rb 0.243 0.625 0.250

Output
**Magnetization**: 0.00 μB/cell
**E above lowest polymorph**: 0.0 meV/atom
**Total DFT energy (no corrections)**: -1.438 eV/atom
**V**: 68.52 Å³ per atom

=====

Record 2
## CsRb2Cu (PBE-GGA)

Data for a geometry-optimized CsRb2Cu structure.

Cell: 6.819 6.819 6.819 Å, 60.00 60.00 60.00°
Atoms (fractional coordinates):
1 Cs 0.500 0.500 0.500
2 Rb 0.750 0.750 0.750
3 Cu 0.000 0.000 0.000
4 Rb 0.250 0.250 0.250

Output
**Magnetization**: 0.00 μB/cell
**E above lowest polymorph**: 106.7 meV/atom
**Total DFT energy (no corrections)**: -1.331 eV/atom
**V**: 56.05 Å³ per atom

=====

Record 3
## Cs3RbCu (PBE-GGA)

Data for a geometry-optimized Cs3RbCu structure.

Cell: 8.488 8.488 8.488 Å, 90.00 90.00 90.00°
Atoms (fractional coordinates):
1 Cu 0.500 0.500 0.500
2 Rb 0.000 0.000 0.000
3 Cs 0.500 0.000 0.000
4 Cs 0.000 0.500 0.000
5 Cs 0.000 0.000 0.500

Output
**Magnetization**: 0.00 μB/cell
**E above lowest polymorph**: 446.5 meV/atom
**Total DFT energy (no corrections)**: -0.888 eV/atom
**V**: 122.32 Å³ per atom

=====

Record 4
## CsRb2Cu2 (PBE-GGA)

Data for a geometry-optimized CsRb2Cu2 structure.

Cell: 9.781 9.781 4.695 Å, 90.00 90.00 90.00°
Atoms (fractional coordinates):
1 Rb 0.855 0.355 0.500
2 Cu 0.858 0.642 0.000
3 Cs 0.000 0.000 0.000
4 Rb 0.145 0.645 0.500
5 Cu 0.642 0.142 0.000
6 Cu 0.142 0.358 0.000
7 Cu 0.358 0.858 0.000
8 Cs 0.500 0.500 0.000
9 Rb 0.355 0.145 0.500
10 Rb 0.645 0.855 0.500

Output
**Magnetization**: 0.00 μB/cell
**E above lowest polymorph**: 26.9 meV/atom
**Total DFT energy (no corrections)**: -1.794 eV/atom
**V**: 44.92 Å³ per atom

=====

Record 5
## CsRb2Cu2 (PBE-GGA)

Data for a geometry-optimized CsRb2Cu2 structure.

Cell: 5.604 5.604 8.217 Å, 70.06 70.06 90.00°
Atoms (fractional coordinates):
1 Cu 0.416 0.416 0.169
2 Cu 0.584 0.584 0.831
3 Cs 0.000 0.000 0.000
4 Rb 0.750 0.250 0.500
5 Rb 0.250 0.750 0.500

Output
**Magnetization**: 0.00 μB/cell
**E above lowest polymorph**: 0.0 meV/atom
**Total DFT energy (no corrections)**: -1.821 eV/atom
**V**: 45.21 Å³ per atom

=====

Record 6
## Cs2RbCu (PBE-GGA)

Data for a geometry-optimized Cs2RbCu structure.

Cell: 12.666 12.666 9.683 Å, 49.16 49.16 90.00°
Atoms (fractional coordinates):
1 Cs 0.875 0.745 0.750
2 Rb 0.000 0.000 0.000
3 Cs 0.375 0.505 0.750
4 Cu 0.500 0.500 0.000
5 Rb 0.750 0.250 0.500
6 Cu 0.250 0.750 0.500
7 Cs 0.495 0.125 0.250
8 Cs 0.255 0.625 0.250

Output
**Magnetization**: 0.00 μB/cell
**E above lowest polymorph**: 0.0 meV/atom
**Total DFT energy (no corrections)**: -1.419 eV/atom
**V**: 73.84 Å³ per atom

=====

Record 7
## Cs2Rb2Cu (PBE-GGA)

Data for a geometry-optimized Cs2Rb2Cu structure.

Cell: 9.692 9.692 8.614 Å, 90.00 90.00 90.00°
Atoms (fractional coordinates):
1 Rb 0.676 0.176 0.500
2 Cs 0.176 0.676 0.000
3 Cs 0.824 0.324 0.000
4 Rb 0.176 0.324 0.500
5 Rb 0.824 0.676 0.500
6 Cu 0.500 0.500 0.000
7 Cu 0.000 0.000 0.000
8 Cs 0.676 0.824 0.000
9 Cs 0.324 0.176 0.000
10 Rb 0.324 0.824 0.500

Output
**Magnetization**: 0.00 μB/cell
**Total DFT energy (no corrections)**: -1.262 eV/atom
**V**: 80.91 Å³ per atom

=====

Record 8
## Cs2RbCu (PBE-GGA)

Data for a geometry-optimized Cs2RbCu structure.

Cell: 7.016 7.016 7.016 Å, 60.00 60.00 60.00°
Atoms (fractional coordinates):
1 Cs 0.750 0.750 0.750
2 Rb 0.500 0.500 0.500
3 Cu 0.000 0.000 0.000
4 Cs 0.250 0.250 0.250

Output
**Magnetization**: 0.00 μB/cell
**E above lowest polymorph**: 90.1 meV/atom
**Total DFT energy (no corrections)**: -1.329 eV/atom
**V**: 61.06 Å³ per atom

=====

Record 9
## Cs2Rb2Cu (PBE-GGA)

Data for a geometry-optimized Cs2Rb2Cu structure.

Cell: 9.645 9.645 8.177 Å, 90.00 90.00 90.00°
Atoms (fractional coordinates):
1 Rb 0.670 0.170 0.000
2 Cs 0.816 0.316 0.500
3 Cs 0.684 0.816 0.500
4 Cu 0.500 0.500 0.000
5 Rb 0.330 0.830 0.000
6 Cs 0.184 0.684 0.500
7 Rb 0.830 0.670 0.000
8 Cu 0.000 0.000 0.000
9 Rb 0.170 0.330 0.000
10 Cs 0.316 0.184 0.500

Output
**Magnetization**: 0.00 μB/cell
**Total DFT energy (no corrections)**: -1.262 eV/atom
**V**: 76.07 Å³ per atom

=====

Record 10
## Cs2RbCu2 (PBE-GGA)

Data for a geometry-optimized Cs2RbCu2 structure.

Cell: 5.758 5.758 8.306 Å, 69.72 69.72 90.00°
Atoms (fractional coordinates):
1 Cu 0.416 0.416 0.169
2 Cu 0.584 0.584 0.831
3 Cs 0.750 0.250 0.500
4 Cs 0.250 0.750 0.500
5 Rb 0.000 0.000 0.000

Output
**Magnetization**: 0.00 μB/cell
**Total DFT energy (no corrections)**: -1.749 eV/atom
**V**: 48.00 Å³ per atom

=====

Record 11
## Cs2Rb4Cu (PBE-GGA)

Data for a geometry-optimized Cs2Rb4Cu structure.

Cell: 6.957 6.957 13.707 Å, 104.70 104.70 90.00°
Atoms (fractional coordinates):
1 Cs 0.672 0.672 0.344
2 Rb 0.500 0.000 0.000
3 Rb 0.000 0.500 0.000
4 Rb 0.134 0.134 0.268
5 Cs 0.328 0.328 0.656
6 Cu 0.000 0.000 0.000
7 Rb 0.866 0.866 0.732

Output
**Magnetization**: 0.00 μB/cell
**Total DFT energy (no corrections)**: -1.211 eV/atom
**V**: 88.45 Å³ per atom

=====

Record 12
## CsRbCu2Rh (PBE-GGA)

Data for a geometry-optimized CsRbCu2Rh structure.

Cell: 5.650 6.584 5.650 Å, 90.00 90.00 90.00°
Atoms (fractional coordinates):
1 Cu 0.500 0.000 0.000
2 Cs 0.000 0.500 0.000
3 Rb 0.000 0.000 0.000
4 Cu 0.000 0.000 0.500
5 Rh 0.500 0.500 0.500

Output
**Magnetization**: 0.00 μB/cell
**Total DFT energy (no corrections)**: -1.717 eV/atom
**V**: 42.03 Å³ per atom